Record 1
# PBE Hf2VCo, relaxed
data_Hf2VCo
_cell_length_a 7.1046
_cell_length_b 7.1046
_cell_length_c 5.7503
_cell_angle_alpha 90.00
_cell_angle_beta 90.00
_cell_angle_gamma 90.00
_symmetry_space_group_name_H-M 'I -4 2 d'
_symmetry_Int_Tables_number 122
_symmetry_space_group_name_Hall 'I -4 2bw'
loop_
_atom_site_label
_atom_site_fract_x
_atom_site_fract_y
_atom_site_fract_z
_atom_site_occupancy
Hf1 0.2090 0.2500 0.1250 1
V1 0.0000 0.0000 0.5000 1
Co1 0.0000 0.0000 0.0000 1
# **Energy above the lowest structure with this stoichiometry**: 484 meV/atom
# **Calculated formation energy**: 0.343 eV per atom



Record 2
# PBE Th7In2Rh2, relaxed
data_Th7In2Rh2
_cell_length_a 8.3065
_cell_length_b 11.4540
_cell_length_c 6.9959
_cell_angle_alpha 90.00
_cell_angle_beta 90.00
_cell_angle_gamma 90.00
_symmetry_space_group_name_H-M 'C m m m'
_symmetry_Int_Tables_number 65
_symmetry_space_group_name_Hall '-C 2 2'
loop_
_atom_site_label
_atom_site_fract_x
_atom_site_fract_y
_atom_site_fract_z
_atom_site_occupancy
Th1 0.0000 0.0000 0.0000 1
Th2 0.0000 0.5000 0.2439 1
Th3 0.2500 0.2500 0.2653 1
In1 0.1686 0.0000 0.5000 1
Rh1 0.0000 0.2654 0.0000 1
# **Calculated formation energy**: -0.224 eV per atom



Record 3
# PBE PmBeCu, relaxed
data_PmBeCu
_cell_length_a 3.0292
_cell_length_b 3.0292
_cell_length_c 22.6033
_cell_angle_alpha 90.00
_cell_angle_beta 90.00
_cell_angle_gamma 90.00
_symmetry_space_group_name_H-M 'I 4/m m m'
_symmetry_Int_Tables_number 139
_symmetry_space_group_name_Hall '-I 4 2'
loop_
_atom_site_label
_atom_site_fract_x
_atom_site_fract_y
_atom_site_fract_z
_atom_site_occupancy
Pm1 0.0000 0.0000 0.0791 1
Be1 0.0000 0.0000 0.2207 1
Cu1 0.0000 0.0000 0.3249 1
# **Energy above the lowest structure with this stoichiometry**: 227 meV/atom
# **Calculated formation energy**: 0.184 eV per atom



Record 4
# PBE YSc2TcO, relaxed
data_YSc2TcO
_cell_length_a 4.2940
_cell_length_b 4.2940
_cell_length_c 4.8173
_cell_angle_alpha 90.00
_cell_angle_beta 90.00
_cell_angle_gamma 90.00
_symmetry_space_group_name_H-M 'P 4/m m m'
_symmetry_Int_Tables_number 123
_symmetry_space_group_name_Hall '-P 4 2'
loop_
_atom_site_label
_atom_site_fract_x
_atom_site_fract_y
_atom_site_fract_z
_atom_site_occupancy
Y1 0.0000 0.0000 0.0000 1
Sc1 0.0000 0.5000 0.5000 1
Tc1 0.5000 0.5000 0.0000 1
O1 0.0000 0.0000 0.5000 1
# **Formation energy (no corrections)**: -1174 meV per atom



Record 5
# PBE Ba2SiMoOs, relaxed
data_Ba2SiMoOs
_cell_length_a 6.1481
_cell_length_b 6.1481
_cell_length_c 4.7024
_cell_angle_alpha 90.00
_cell_angle_beta 90.00
_cell_angle_gamma 90.00
_symmetry_space_group_name_H-M 'P 4/m m m'
_symmetry_Int_Tables_number 123
_symmetry_space_group_name_Hall '-P 4 2'
loop_
_atom_site_label
_atom_site_fract_x
_atom_site_fract_y
_atom_site_fract_z
_atom_site_occupancy
Ba1 0.0000 0.5000 0.0000 1
Si1 0.0000 0.0000 0.5000 1
Mo1 0.5000 0.5000 0.5000 1
Os1 0.5000 0.5000 0.0000 1
# **Formation energy (no corrections)**: 1004 meV per atom



Record 6
# PBE Cd2Ag12Au5, relaxed
data_Cd2Ag12Au5
_cell_length_a 15.3180
_cell_length_b 9.6584
_cell_length_c 5.0260
_cell_angle_alpha 90.00
_cell_angle_beta 105.25
_cell_angle_gamma 90.00
_symmetry_space_group_name_H-M 'C 1 2/m 1'
_symmetry_Int_Tables_number 12
_symmetry_space_group_name_Hall '-C 2y'
loop_
_atom_site_label
_atom_site_fract_x
_atom_site_fract_y
_atom_site_fract_z
_atom_site_occupancy
Cd1 0.0000 0.2419 0.0000 1
Ag1 0.0958 0.0000 0.2467 1
Ag2 0.0991 0.2429 0.6020 1
Ag3 0.1016 0.5000 0.0439 1
Ag4 0.2008 0.2478 0.2027 1
Au1 0.0000 0.5000 0.5000 1
Au2 0.1970 0.0000 0.8267 1
Au3 0.2003 0.5000 0.5993 1
# **Energy above the lowest structure with this stoichiometry**: 0 meV/atom
# **Calculated formation energy**: 0.027 eV per atom



Record 7
# PBE Be2Nb2Au, relaxed
data_Be2Nb2Au
_cell_length_a 3.3711
_cell_length_b 11.8825
_cell_length_c 3.5324
_cell_angle_alpha 90.00
_cell_angle_beta 90.00
_cell_angle_gamma 90.00
_symmetry_space_group_name_H-M 'C m m m'
_symmetry_Int_Tables_number 65
_symmetry_space_group_name_Hall '-C 2 2'
loop_
_atom_site_label
_atom_site_fract_x
_atom_site_fract_y
_atom_site_fract_z
_atom_site_occupancy
Be1 0.0000 0.1996 0.0000 1
Nb1 0.0000 0.3541 0.5000 1
Au1 0.0000 0.0000 0.0000 1
# **Energy above the lowest structure with this stoichiometry**: 36 meV/atom
# **Calculated formation energy**: -0.219 eV per atom



Record 8
# PBE BaMnCr2, relaxed
data_BaMnCr2
_cell_length_a 4.8051
_cell_length_b 4.8051
_cell_length_c 8.6533
_cell_angle_alpha 90.00
_cell_angle_beta 90.00
_cell_angle_gamma 90.00
_symmetry_space_group_name_H-M 'I 4/m m m'
_symmetry_Int_Tables_number 139
_symmetry_space_group_name_Hall '-I 4 2'
loop_
_atom_site_label
_atom_site_fract_x
_atom_site_fract_y
_atom_site_fract_z
_atom_site_occupancy
Ba1 0.0000 0.0000 0.0000 1
Mn1 0.0000 0.0000 0.5000 1
Cr1 0.0000 0.5000 0.2500 1
# **Energy above the lowest structure with this stoichiometry**: 664 meV/atom
# **Calculated formation energy**: 1.277 eV per atom



Number 1: D(E_F) 0.947 states/eV/atom. Number 2: D(E_F) 1.218 states/eV/atom. Number 3: D(E_F) 0.654 states/eV/atom. Number 4: D(E_F) 0.572 states/eV/atom. Number 5: D(E_F) 1.040 states/eV/atom. Number 6: D(E_F) 0.245 states/eV/atom. Number 7: D(E_F) 0.420 states/eV/atom. Number 8: D(E_F) 1.174 states/eV/atom.